DFT (PBEsol) results for an optimized crystal structure of Rb2CeCl5.

Properties
density of states at the Fermi level: 1.035 states/eV per atom
DFT total energy: -142.11 eV/cell
formation energy from raw total energies: -2105 meV per atom
spin magnetization: 4.0 Bohr magnetons per cell

Cell lengths 13.071, 8.854, 8.164 Å; angles 90.00, 90.00, 90.00 degrees
Fractional positions:
Rb1 0.171 0.005 0.053
Rb2 0.171 0.495 0.053
Rb3 0.329 0.505 0.553
Rb4 0.329 0.995 0.553
Rb5 0.671 0.005 0.447
Rb6 0.671 0.495 0.447
Rb7 0.829 0.505 0.947
Rb8 0.829 0.995 0.947
Ce1 0.004 0.250 0.571
Ce2 0.496 0.750 0.071
Ce3 0.504 0.250 0.929
Ce4 0.996 0.750 0.429
Cl1 0.010 0.250 0.911
Cl2 0.075 0.542 0.662
Cl3 0.075 0.958 0.662
Cl4 0.177 0.250 0.376
Cl5 0.200 0.750 0.341
Cl6 0.300 0.250 0.841
Cl7 0.323 0.750 0.876
Cl8 0.425 0.042 0.162
Cl9 0.425 0.458 0.162
Cl10 0.490 0.750 0.411
Cl11 0.510 0.250 0.589
Cl12 0.575 0.542 0.838
Cl13 0.575 0.958 0.838
Cl14 0.677 0.250 0.124
Cl15 0.700 0.750 0.159
Cl16 0.800 0.250 0.659
Cl17 0.823 0.750 0.624
Cl18 0.925 0.042 0.338
Cl19 0.925 0.458 0.338
Cl20 0.990 0.750 0.089

***

DFT (PBEsol) results for an optimized crystal structure of ZnCuSi2O6.

Properties
ΔE to the lowest computed polymorph: 7 meV/atom
density of states at the Fermi level: 0.183 states/eV per atom
DFT total energy: -138.06 eV/cell
formation energy from raw total energies: -2012 meV per atom
spin magnetization: 2.0 Bohr magnetons per cell

Cell lengths 6.765, 6.765, 5.266 Å; angles 106.23, 106.23, 86.67 degrees
Fractional positions:
Zn1 0.232 0.768 0.750
Zn2 0.768 0.232 0.250
Cu1 0.105 0.895 0.250
Cu2 0.895 0.105 0.750
Si1 0.217 0.388 0.259
Si2 0.388 0.217 0.759
Si3 0.612 0.783 0.241
Si4 0.783 0.612 0.741
O1 0.033 0.208 0.132
O2 0.137 0.617 0.373
O3 0.208 0.033 0.632
O4 0.325 0.384 0.016
O5 0.383 0.863 0.127
O6 0.384 0.325 0.516
O7 0.616 0.675 0.484
O8 0.617 0.137 0.873
O9 0.675 0.616 0.984
O10 0.792 0.967 0.368
O11 0.863 0.383 0.627
O12 0.967 0.792 0.868

***

DFT (PBEsol) results for an optimized crystal structure of ZnMo2As.

Properties
ΔE to the lowest computed polymorph: 0 meV/atom
density of states at the Fermi level: 0.495 states/eV per atom
DFT total energy: -58.99 eV/cell
spin magnetization: 0.0 Bohr magnetons per cell

Cell lengths 3.212, 4.451, 8.922 Å; angles 90.00, 90.00, 90.00 degrees
Fractional positions:
Zn1 0.000 0.000 0.000
Zn2 0.500 0.500 0.000
Mo1 0.000 0.000 0.528
Mo2 0.000 0.500 0.765
Mo3 0.500 0.000 0.765
Mo4 0.500 0.500 0.528
As1 0.000 0.500 0.292
As2 0.500 0.000 0.292

***

DFT (PBEsol) results for an optimized crystal structure of Ca2RhCl.

Properties
ΔE to the lowest computed polymorph: 0 meV/atom
density of states at the Fermi level: 0.172 states/eV per atom
DFT total energy: -18.52 eV/cell
formation energy from raw total energies: -1027 meV per atom
spin magnetization: 0.0 Bohr magnetons per cell

Cell lengths 3.362, 3.362, 7.444 Å; angles 90.00, 90.00, 90.00 degrees
Fractional positions:
Ca1 0.000 0.000 0.224
Ca2 0.000 0.000 0.776
Rh1 0.500 0.500 0.000
Cl1 0.500 0.500 0.500

***

Which of these has the lowest density of states at the Fermi level?
Ca2RhCl